*i*
The following is a DFT calculation (SCAN) of a PBEsol-optimized structure of TlIn2As.

CIF file:
```
data_TlIn2As
_space_group_name_H-M_alt 'P 1'
_space_group_IT_number 1
_cell_length_a 3.524
_cell_length_b 5.141
_cell_length_c 6.342
_cell_angle_alpha 113.91
_cell_angle_beta 106.13
_cell_angle_gamma 90.00
loop_
_space_group_symop_operation_xyz
'x,y,z'
loop_
_atom_site_label
_atom_site_fract_x
_atom_site_fract_y
_atom_site_fract_z
Tl1 0.500 0.000 0.000
As1 0.000 0.500 0.000
In1 0.711 0.711 0.422
In2 0.289 0.289 0.578
```

=====

*ii*
The following is a DFT calculation (SCAN) of a PBEsol-optimized structure of TlIn2As.

CIF file:
```
data_TlIn2As
_space_group_name_H-M_alt 'P 1'
_space_group_IT_number 1
_cell_length_a 3.062
_cell_length_b 6.014
_cell_length_c 6.050
_cell_angle_alpha 118.29
_cell_angle_beta 90.00
_cell_angle_gamma 90.00
loop_
_space_group_symop_operation_xyz
'x,y,z'
loop_
_atom_site_label
_atom_site_fract_x
_atom_site_fract_y
_atom_site_fract_z
Tl1 0.500 0.000 0.500
As1 0.000 0.500 0.500
In1 0.000 0.000 0.000
In2 0.500 0.500 0.000
```

=====

Most stable: *i*

=====

*i*
The following is a DFT calculation (SCAN) of a PBEsol-optimized structure of TlInAs2.

CIF file:
```
data_TlInAs2
_space_group_name_H-M_alt 'P 1'
_space_group_IT_number 1
_cell_length_a 3.549
_cell_length_b 5.354
_cell_length_c 5.993
_cell_angle_alpha 116.54
_cell_angle_beta 107.22
_cell_angle_gamma 90.00
loop_
_space_group_symop_operation_xyz
'x,y,z'
loop_
_atom_site_label
_atom_site_fract_x
_atom_site_fract_y
_atom_site_fract_z
Tl1 0.266 0.766 0.532
As1 0.039 0.039 0.078
As2 0.712 0.212 0.424
In1 0.482 0.482 0.965
```

=====

*ii*
The following is a DFT calculation (SCAN) of a PBEsol-optimized structure of TlInAs2.

CIF file:
```
data_TlInAs2
_space_group_name_H-M_alt 'P 1'
_space_group_IT_number 1
_cell_length_a 6.154
_cell_length_b 6.154
_cell_length_c 7.537
_cell_angle_alpha 114.09
_cell_angle_beta 114.09
_cell_angle_gamma 90.00
loop_
_space_group_symop_operation_xyz
'x,y,z'
loop_
_atom_site_label
_atom_site_fract_x
_atom_site_fract_y
_atom_site_fract_z
Tl1 0.250 0.750 0.500
Tl2 0.000 0.000 0.000
As1 0.383 0.875 0.250
As2 0.867 0.375 0.250
As3 0.125 0.133 0.750
As4 0.625 0.617 0.750
In1 0.750 0.250 0.500
In2 0.500 0.500 0.000
```

=====

Most stable: *ii*

=====

*i*
The following is a DFT calculation (SCAN) of a PBEsol-optimized structure of ZrInAs3.

CIF file:
```
data_ZrInAs3
_space_group_name_H-M_alt 'P 1'
_space_group_IT_number 1
_cell_length_a 5.000
_cell_length_b 5.000
_cell_length_c 5.000
_cell_angle_alpha 90.00
_cell_angle_beta 90.00
_cell_angle_gamma 90.00
loop_
_space_group_symop_operation_xyz
'x,y,z'
loop_
_atom_site_label
_atom_site_fract_x
_atom_site_fract_y
_atom_site_fract_z
As1 0.000 0.500 0.000
As2 0.000 0.000 0.500
As3 0.500 0.000 0.000
Zr1 0.500 0.500 0.500
In1 0.000 0.000 0.000
```

=====

*ii*
The following is a DFT calculation (SCAN) of a PBEsol-optimized structure of ZrInAs3.

CIF file:
```
data_ZrInAs3
_space_group_name_H-M_alt 'P 1'
_space_group_IT_number 1
_cell_length_a 5.139
_cell_length_b 5.139
_cell_length_c 5.139
_cell_angle_alpha 90.00
_cell_angle_beta 90.00
_cell_angle_gamma 90.00
loop_
_space_group_symop_operation_xyz
'x,y,z'
loop_
_atom_site_label
_atom_site_fract_x
_atom_site_fract_y
_atom_site_fract_z
As1 0.000 0.500 0.000
As2 0.000 0.000 0.500
As3 0.500 0.000 0.000
Zr1 0.000 0.000 0.000
In1 0.500 0.500 0.500
```

=====

Most stable: *ii*

=====

*i*
The following is a DFT calculation (SCAN) of a PBEsol-optimized structure of As3Ir.

CIF file:
```
data_As3Ir
_space_group_name_H-M_alt 'P 1'
_space_group_IT_number 1
_cell_length_a 7.355
_cell_length_b 7.355
_cell_length_c 7.355
_cell_angle_alpha 109.47
_cell_angle_beta 109.47
_cell_angle_gamma 109.47
loop_
_space_group_symop_operation_xyz
'x,y,z'
loop_
_atom_site_label
_atom_site_fract_x
_atom_site_fract_y
_atom_site_fract_z
As1 0.854 0.506 0.652
As2 0.854 0.202 0.348
As3 0.146 0.798 0.652
As4 0.146 0.494 0.348
As5 0.506 0.652 0.854
As6 0.202 0.348 0.854
As7 0.798 0.652 0.146
As8 0.494 0.348 0.146
As9 0.652 0.854 0.506
As10 0.348 0.854 0.202
As11 0.652 0.146 0.798
As12 0.348 0.146 0.494
Ir1 0.500 0.500 0.500
Ir2 0.000 0.000 0.500
Ir3 0.500 0.000 0.000
Ir4 0.000 0.500 0.000
```

=====

*ii*
The following is a DFT calculation (SCAN) of a PBEsol-optimized structure of As3Ir.

CIF file:
```
data_As3Ir
_space_group_name_H-M_alt 'P 1'
_space_group_IT_number 1
_cell_length_a 3.748
_cell_length_b 5.060
_cell_length_c 7.857
_cell_angle_alpha 90.00
_cell_angle_beta 90.00
_cell_angle_gamma 90.00
loop_
_space_group_symop_operation_xyz
'x,y,z'
loop_
_atom_site_label
_atom_site_fract_x
_atom_site_fract_y
_atom_site_fract_z
As1 0.500 0.849 0.000
As2 0.000 0.151 0.500
As3 0.000 0.709 0.677
As4 0.000 0.709 0.323
As5 0.500 0.291 0.177
As6 0.500 0.291 0.823
Ir1 0.000 0.536 0.000
Ir2 0.500 0.464 0.500
```

=====

*iii*
The following is a DFT calculation (SCAN) of a PBEsol-optimized structure of As3Ir.

CIF file:
```
data_As3Ir
_space_group_name_H-M_alt 'P 1'
_space_group_IT_number 1
_cell_length_a 2.956
_cell_length_b 4.698
_cell_length_c 4.698
_cell_angle_alpha 90.00
_cell_angle_beta 90.00
_cell_angle_gamma 90.00
loop_
_space_group_symop_operation_xyz
'x,y,z'
loop_
_atom_site_label
_atom_site_fract_x
_atom_site_fract_y
_atom_site_fract_z
As1 0.000 0.000 0.500
As2 0.500 0.500 0.500
As3 0.000 0.500 0.000
Ir1 0.500 0.000 0.000
```

=====

*iv*
The following is a DFT calculation (SCAN) of a PBEsol-optimized structure of As3Ir.

CIF file:
```
data_As3Ir
_space_group_name_H-M_alt 'P 1'
_space_group_IT_number 1
_cell_length_a 3.165
_cell_length_b 4.619
_cell_length_c 4.619
_cell_angle_alpha 103.30
_cell_angle_beta 90.00
_cell_angle_gamma 90.00
loop_
_space_group_symop_operation_xyz
'x,y,z'
loop_
_atom_site_label
_atom_site_fract_x
_atom_site_fract_y
_atom_site_fract_z
As1 0.500 0.000 0.500
As2 0.500 0.500 0.000
As3 0.000 0.500 0.500
Ir1 0.000 0.000 0.000
```

=====

Most stable: *i*

=====

*i*
The following is a DFT calculation (SCAN) of a PBEsol-optimized structure of As3Ir.

CIF file:
```
data_As3Ir
_space_group_name_H-M_alt 'P 1'
_space_group_IT_number 1
_cell_length_a 5.267
_cell_length_b 5.309
_cell_length_c 5.309
_cell_angle_alpha 94.22
_cell_angle_beta 90.00
_cell_angle_gamma 90.00
loop_
_space_group_symop_operation_xyz
'x,y,z'
loop_
_atom_site_label
_atom_site_fract_x
_atom_site_fract_y
_atom_site_fract_z
As1 0.750 0.019 0.981
As2 0.250 0.981 0.019
As3 0.750 0.976 0.513
As4 0.250 0.024 0.487
As5 0.750 0.487 0.024
As6 0.250 0.513 0.976
Ir1 0.250 0.474 0.526
Ir2 0.750 0.526 0.474
```

=====

*ii*
The following is a DFT calculation (SCAN) of a PBEsol-optimized structure of As3Ir.

CIF file:
```
data_As3Ir
_space_group_name_H-M_alt 'P 1'
_space_group_IT_number 1
_cell_length_a 2.925
_cell_length_b 5.204
_cell_length_c 5.204
_cell_angle_alpha 116.57
_cell_angle_beta 100.80
_cell_angle_gamma 100.80
loop_
_space_group_symop_operation_xyz
'x,y,z'
loop_
_atom_site_label
_atom_site_fract_x
_atom_site_fract_y
_atom_site_fract_z
As1 0.500 0.500 0.500
As2 0.000 0.500 0.000
As3 0.000 0.000 0.500
Ir1 0.500 0.000 0.000
```

=====

Most stable: *i*

=====

*i*
The following is a DFT calculation (SCAN) of a PBEsol-optimized structure of As2IrOs.

CIF file:
```
data_As2IrOs
_space_group_name_H-M_alt 'P 1'
_space_group_IT_number 1
_cell_length_a 4.433
_cell_length_b 4.433
_cell_length_c 4.433
_cell_angle_alpha 60.00
_cell_angle_beta 60.00
_cell_angle_gamma 60.00
loop_
_space_group_symop_operation_xyz
'x,y,z'
loop_
_atom_site_label
_atom_site_fract_x
_atom_site_fract_y
_atom_site_fract_z
As1 0.000 0.000 0.000
As2 0.750 0.750 0.750
Ir1 0.500 0.500 0.500
Os1 0.250 0.250 0.250
```

=====

*ii*
The following is a DFT calculation (SCAN) of a PBEsol-optimized structure of As2IrOs.

CIF file:
```
data_As2IrOs
_space_group_name_H-M_alt 'P 1'
_space_group_IT_number 1
_cell_length_a 3.129
_cell_length_b 3.129
_cell_length_c 5.991
_cell_angle_alpha 90.00
_cell_angle_beta 90.00
_cell_angle_gamma 90.00
loop_
_space_group_symop_operation_xyz
'x,y,z'
loop_
_atom_site_label
_atom_site_fract_x
_atom_site_fract_y
_atom_site_fract_z
As1 0.000 0.000 0.750
As2 0.000 0.000 0.250
Ir1 0.500 0.500 0.000
Os1 0.500 0.500 0.500
```

=====

Most stable: *ii*

=====

*i*
The following is a DFT calculation (SCAN) of a PBEsol-optimized structure of AsPIr.

CIF file:
```
data_AsPIr
_space_group_name_H-M_alt 'P 1'
_space_group_IT_number 1
_cell_length_a 2.912
_cell_length_b 4.128
_cell_length_c 4.533
_cell_angle_alpha 117.09
_cell_angle_beta 108.73
_cell_angle_gamma 90.00
loop_
_space_group_symop_operation_xyz
'x,y,z'
loop_
_atom_site_label
_atom_site_fract_x
_atom_site_fract_y
_atom_site_fract_z
P1 0.337 0.337 0.674
As1 0.009 0.009 0.017
Ir1 0.654 0.654 0.309
```

=====

*ii*
The following is a DFT calculation (SCAN) of a PBEsol-optimized structure of AsPIr.

CIF file:
```
data_AsPIr
_space_group_name_H-M_alt 'P 1'
_space_group_IT_number 1
_cell_length_a 3.387
_cell_length_b 3.387
_cell_length_c 4.931
_cell_angle_alpha 90.00
_cell_angle_beta 90.00
_cell_angle_gamma 120.00
loop_
_space_group_symop_operation_xyz
'x,y,z'
loop_
_atom_site_label
_atom_site_fract_x
_atom_site_fract_y
_atom_site_fract_z
P1 0.667 0.333 0.383
As1 0.000 0.000 0.977
Ir1 0.333 0.667 0.640
```

=====

Most stable: *ii*

=====

*i*
The following is a DFT calculation (SCAN) of a PBEsol-optimized structure of AsIrPb2.

CIF file:
```
data_AsIrPb2
_space_group_name_H-M_alt 'P 1'
_space_group_IT_number 1
_cell_length_a 4.924
_cell_length_b 4.924
_cell_length_c 4.924
_cell_angle_alpha 60.00
_cell_angle_beta 60.00
_cell_angle_gamma 60.00
loop_
_space_group_symop_operation_xyz
'x,y,z'
loop_
_atom_site_label
_atom_site_fract_x
_atom_site_fract_y
_atom_site_fract_z
Pb1 0.250 0.250 0.250
Pb2 0.750 0.750 0.750
As1 0.000 0.000 0.000
Ir1 0.500 0.500 0.500
```

=====

*ii*
The following is a DFT calculation (SCAN) of a PBEsol-optimized structure of AsIrPb2.

CIF file:
```
data_AsIrPb2
_space_group_name_H-M_alt 'P 1'
_space_group_IT_number 1
_cell_length_a 3.928
_cell_length_b 4.657
_cell_length_c 4.657
_cell_angle_alpha 90.00
_cell_angle_beta 90.00
_cell_angle_gamma 90.00
loop_
_space_group_symop_operation_xyz
'x,y,z'
loop_
_atom_site_label
_atom_site_fract_x
_atom_site_fract_y
_atom_site_fract_z
Pb1 0.000 0.000 0.500
Pb2 0.000 0.500 0.000
As1 0.500 0.500 0.500
Ir1 0.500 0.000 0.000
```

=====

Most stable: *ii*

=====

*i*
The following is a DFT calculation (SCAN) of a PBEsol-optimized structure of AsIrPb.

CIF file:
```
data_AsIrPb
_space_group_name_H-M_alt 'P 1'
_space_group_IT_number 1
_cell_length_a 3.006
_cell_length_b 3.247
_cell_length_c 6.649
_cell_angle_alpha 104.13
_cell_angle_beta 103.06
_cell_angle_gamma 90.00
loop_
_space_group_symop_operation_xyz
'x,y,z'
loop_
_atom_site_label
_atom_site_fract_x
_atom_site_fract_y
_atom_site_fract_z
Pb1 0.315 0.315 0.630
As1 0.043 0.043 0.086
Ir1 0.642 0.642 0.284
```

=====

*ii*
The following is a DFT calculation (SCAN) of a PBEsol-optimized structure of AsIrPb.

CIF file:
```
data_AsIrPb
_space_group_name_H-M_alt 'P 1'
_space_group_IT_number 1
_cell_length_a 4.552
_cell_length_b 4.552
_cell_length_c 4.552
_cell_angle_alpha 60.00
_cell_angle_beta 60.00
_cell_angle_gamma 60.00
loop_
_space_group_symop_operation_xyz
'x,y,z'
loop_
_atom_site_label
_atom_site_fract_x
_atom_site_fract_y
_atom_site_fract_z
Pb1 0.750 0.750 0.750
As1 0.000 0.000 0.000
Ir1 0.500 0.500 0.500
```

=====

Most stable: *i*

=====

*i*
The following is a DFT calculation (SCAN) of a PBEsol-optimized structure of AsIrPt.

CIF file:
```
data_AsIrPt
_space_group_name_H-M_alt 'P 1'
_space_group_IT_number 1
_cell_length_a 3.504
_cell_length_b 3.941
_cell_length_c 3.941
_cell_angle_alpha 120.00
_cell_angle_beta 90.00
_cell_angle_gamma 90.00
loop_
_space_group_symop_operation_xyz
'x,y,z'
loop_
_atom_site_label
_atom_site_fract_x
_atom_site_fract_y
_atom_site_fract_z
As1 0.961 0.000 0.000
Ir1 0.754 0.667 0.333
Pt1 0.285 0.333 0.667
```

=====

*ii*
The following is a DFT calculation (SCAN) of a PBEsol-optimized structure of AsIrPt.

CIF file:
```
data_AsIrPt
_space_group_name_H-M_alt 'P 1'
_space_group_IT_number 1
_cell_length_a 4.205
_cell_length_b 4.205
_cell_length_c 4.205
_cell_angle_alpha 60.00
_cell_angle_beta 60.00
_cell_angle_gamma 60.00
loop_
_space_group_symop_operation_xyz
'x,y,z'
loop_
_atom_site_label
_atom_site_fract_x
_atom_site_fract_y
_atom_site_fract_z
As1 0.500 0.500 0.500
Ir1 0.250 0.250 0.250
Pt1 0.000 0.000 0.000
```

=====

*iii*
The following is a DFT calculation (SCAN) of a PBEsol-optimized structure of AsIrPt.

CIF file:
```
data_AsIrPt
_space_group_name_H-M_alt 'P 1'
_space_group_IT_number 1
_cell_length_a 2.893
_cell_length_b 2.893
_cell_length_c 6.235
_cell_angle_alpha 90.00
_cell_angle_beta 90.00
_cell_angle_gamma 120.00
loop_
_space_group_symop_operation_xyz
'x,y,z'
loop_
_atom_site_label
_atom_site_fract_x
_atom_site_fract_y
_atom_site_fract_z
As1 0.000 0.000 0.990
Ir1 0.667 0.333 0.688
Pt1 0.333 0.667 0.322
```

=====

Most stable: *i*

=====

*i*
The following is a DFT calculation (SCAN) of a PBEsol-optimized structure of As2IrRh.

CIF file:
```
data_As2IrRh
_space_group_name_H-M_alt 'P 1'
_space_group_IT_number 1
_cell_length_a 2.796
_cell_length_b 2.799
_cell_length_c 9.693
_cell_angle_alpha 90.00
_cell_angle_beta 90.00
_cell_angle_gamma 119.96
loop_
_space_group_symop_operation_xyz
'x,y,z'
loop_
_atom_site_label
_atom_site_fract_x
_atom_site_fract_y
_atom_site_fract_z
As1 0.000 0.000 0.956
As2 0.500 0.000 0.291
Ir1 0.000 0.000 0.506
Rh1 0.500 0.000 0.746
```

=====

*ii*
The following is a DFT calculation (SCAN) of a PBEsol-optimized structure of As2IrRh.

CIF file:
```
data_As2IrRh
_space_group_name_H-M_alt 'P 1'
_space_group_IT_number 1
_cell_length_a 2.971
_cell_length_b 2.971
_cell_length_c 7.945
_cell_angle_alpha 79.22
_cell_angle_beta 79.22
_cell_angle_gamma 60.00
loop_
_space_group_symop_operation_xyz
'x,y,z'
loop_
_atom_site_label
_atom_site_fract_x
_atom_site_fract_y
_atom_site_fract_z
As1 0.251 0.251 0.247
As2 0.749 0.749 0.753
Ir1 0.500 0.500 0.500
Rh1 0.000 0.000 0.000
```

=====

Most stable: *ii*

=====

*i*
The following is a DFT calculation (SCAN) of a PBEsol-optimized structure of SbAs2Ir.

CIF file:
```
data_SbAs2Ir
_space_group_name_H-M_alt 'P 1'
_space_group_IT_number 1
_cell_length_a 3.296
_cell_length_b 3.296
_cell_length_c 7.022
_cell_angle_alpha 90.00
_cell_angle_beta 90.00
_cell_angle_gamma 90.00
loop_
_space_group_symop_operation_xyz
'x,y,z'
loop_
_atom_site_label
_atom_site_fract_x
_atom_site_fract_y
_atom_site_fract_z
Sb1 0.500 0.500 0.695
As1 0.000 0.000 0.071
As2 0.500 0.500 0.267
Ir1 0.000 0.000 0.467
```

=====

*ii*
The following is a DFT calculation (SCAN) of a PBEsol-optimized structure of SbAs2Ir.

CIF file:
```
data_SbAs2Ir
_space_group_name_H-M_alt 'P 1'
_space_group_IT_number 1
_cell_length_a 3.770
_cell_length_b 4.619
_cell_length_c 4.866
_cell_angle_alpha 112.14
_cell_angle_beta 90.00
_cell_angle_gamma 90.00
loop_
_space_group_symop_operation_xyz
'x,y,z'
loop_
_atom_site_label
_atom_site_fract_x
_atom_site_fract_y
_atom_site_fract_z
Sb1 0.500 0.500 0.000
As1 0.000 0.230 0.316
As2 0.000 0.770 0.684
Ir1 0.500 0.000 0.500
```

=====

Most stable: *ii*